# PBE Sb2MoSe, optimized geometry
data_Sb2MoSe
_space_group_name_H-M_alt 'P 1'
_space_group_IT_number 1
_cell_length_a 3.010
_cell_length_b 3.010
_cell_length_c 10.639
_cell_angle_alpha 90.00
_cell_angle_beta 90.00
_cell_angle_gamma 105.32
loop_
_space_group_symop_operation_xyz
'x,y,z'
loop_
_atom_site_label
_atom_site_type_symbol
_atom_site_fract_x
_atom_site_fract_y
_atom_site_fract_z
_atom_site_occupancy
Sb1 Sb 0.000 0.000 0.204 1
Sb2 Sb 0.000 0.000 0.796 1
Mo1 Mo 0.500 0.500 0.000 1
Se1 Se 0.500 0.500 0.500 1
# Magnetization, μB per cell: 0.000
# Calculated volume, Å³ per cell: 92.97
# Formation energy without anion corrections, eV/atom: 0.37
# Raw total energy, eV/atom: -5.2674